ReAgHg2 | PBE | optimized geometry

Geometry as POSCAR:
```
ReAgHg2
1.0
2.852 0.000 0.000
0.000 4.487 0.000
0.000 0.000 5.890
Hg Ag Re
2 1 1
Cartesian
0.000 0.000 5.777 Hg
1.426 2.243 1.659 Hg
1.426 2.243 4.412 Ag
0.000 0.000 2.878 Re
```

ΔH_f (0 K) = 0.76 eV per atom
DOS at the Fermi energy = 0.807 states/eV/atom
excess energy over the best structure of this formula in the dataset = 195.7 meV/atom
electronic total energy = -3.22 eV per atom
SG = Pmm2